Ac2HgN | PBE | optimized geometry

Summary:
- relative energy among the computed polymorphs (kJ/mol of atoms) = 49.7
- crystal system = tetragonal
- N(E_F) (states/eV/f.u.) = 3.4
- energy relative to the elements, uncorrected (meV/atom) = -285.6
- E_tot (eV/atom) = -4.50

abc: 3.4558 3.4558 8.2401
angles: 90.00 90.00 90.00
Atoms (fractional coordinates):
Ac 0.0000 0.0000 0.1924
Ac 0.0000 0.0000 0.8076
N 0.5000 0.5000 0.0000
Hg 0.5000 0.5000 0.5000